The following is a DFT calculation (PBE-GGA) of a geometry-optimized Fe2BiI structure.

Output
- Energy above the lowest structure with this stoichiometry: 0.00 eV per formula unit
- Uncorrected formation energy: 783 meV/atom
- Crystal system: tetragonal

```
data_Fe2BiI
_cell_length_a 6.437
_cell_length_b 6.437
_cell_length_c 10.723
_cell_angle_alpha 90.00
_cell_angle_beta 90.00
_cell_angle_gamma 90.00
_space_group_name_H-M_alt 'I -4 2 d'
_space_group_IT_number 122
_space_group_name_Hall 'I -4 2bw'
loop_
_atom_site_label
_atom_site_type_symbol
_atom_site_fract_x
_atom_site_fract_y
_atom_site_fract_z
Fe1 Fe 0.245 0.250 0.125
Bi1 Bi 0.000 0.000 0.500
I1 I 0.000 0.000 0.000
```

---

The following is a DFT calculation (PBE-GGA) of a geometry-optimized Sr5LaSe6 structure.

Output
- Uncorrected formation energy: -2031 meV/atom
- Crystal system: monoclinic

```
data_Sr5LaSe6
_cell_length_a 7.654
_cell_length_b 13.254
_cell_length_c 7.656
_cell_angle_alpha 90.00
_cell_angle_beta 109.47
_cell_angle_gamma 90.00
_space_group_name_H-M_alt 'C 1 2/m 1'
_space_group_IT_number 12
loop_
_space_group_symop_operation_xyz
'x,y,z'
'-x,-y,-z'
'-x,y,-z'
'x,-y,z'
'x+1/2,y+1/2,z'
'-x+1/2,-y+1/2,-z'
'-x+1/2,y+1/2,-z'
'x+1/2,-y+1/2,z'
loop_
_atom_site_label
_atom_site_type_symbol
_atom_site_fract_x
_atom_site_fract_y
_atom_site_fract_z
Sr1 Sr 0.000 0.000 0.000
Sr2 Sr 0.000 0.166 0.500
Sr3 Sr 0.000 0.332 0.000
La1 La 0.000 0.500 0.500
Se1 Se 0.245 0.500 0.253
Se2 Se 0.246 0.336 0.746
```

---

The following is a DFT calculation (PBE-GGA) of a geometry-optimized KTmCdSe3 structure.

Output
- Uncorrected formation energy: -1322 meV/atom
- Crystal system: monoclinic

```
data_KTmCdSe3
_cell_length_a 8.905
_cell_length_b 4.225
_cell_length_c 10.228
_cell_angle_alpha 90.00
_cell_angle_beta 107.88
_cell_angle_gamma 90.00
_space_group_name_H-M_alt 'P 1 21/m 1'
_space_group_IT_number 11
loop_
_space_group_symop_operation_xyz
'x,y,z'
'-x,-y,-z'
'-x,y+1/2,-z'
'x,-y+1/2,z'
loop_
_atom_site_label
_atom_site_type_symbol
_atom_site_fract_x
_atom_site_fract_y
_atom_site_fract_z
K1 K 0.213 0.250 0.231
Tm1 Tm 0.331 0.750 0.866
Cd1 Cd 0.084 0.250 0.610
Se1 Se 0.111 0.250 0.872
Se2 Se 0.236 0.750 0.548
Se3 Se 0.461 0.750 0.150
```

---

The following is a DFT calculation (PBE-GGA) of a geometry-optimized YThRh2 structure.

Output
- Energy of formation: -798 meV per atom
- Energy above the lowest structure with this stoichiometry: 0.42 eV per formula unit
- Crystal system: monoclinic

```
data_YThRh2
_cell_length_a 5.740
_cell_length_b 5.638
_cell_length_c 11.964
_cell_angle_alpha 90.00
_cell_angle_beta 108.59
_cell_angle_gamma 90.00
_space_group_name_H-M_alt 'P 1 2/c 1'
_space_group_IT_number 13
loop_
_space_group_symop_operation_xyz
'x,y,z'
'-x,-y,-z'
'-x,y,-z+1/2'
'x,-y,z+1/2'
loop_
_atom_site_label
_atom_site_type_symbol
_atom_site_fract_x
_atom_site_fract_y
_atom_site_fract_z
Y1 Y 0.058 0.250 0.108
Th1 Th 0.418 0.250 0.889
Rh1 Rh 0.108 0.249 0.651
Rh2 Rh 0.422 0.250 0.356
```

---

The following is a DFT calculation (PBE-GGA) of a geometry-optimized ThTe4Rh structure.

Output
- Uncorrected formation energy: -615 meV/atom
- Crystal system: monoclinic

```
data_ThTe4Rh
_cell_length_a 8.640
_cell_length_b 6.256
_cell_length_c 6.242
_cell_angle_alpha 90.00
_cell_angle_beta 98.63
_cell_angle_gamma 90.00
_space_group_name_H-M_alt 'P 1 21/c 1'
_space_group_IT_number 14
loop_
_space_group_symop_operation_xyz
'x,y,z'
'-x,-y,-z'
'-x,y+1/2,-z+1/2'
'x,-y+1/2,z+1/2'
loop_
_atom_site_label
_atom_site_type_symbol
_atom_site_fract_x
_atom_site_fract_y
_atom_site_fract_z
Th1 Th 0.000 0.000 0.000
Te1 Te 0.181 0.041 0.520
Te2 Te 0.400 0.620 0.608
Rh1 Rh 0.500 0.000 0.500
```

---

The following is a DFT calculation (PBE-GGA) of a geometry-optimized SrAs4Pt structure.

Output
- Energy of formation: -7 meV per atom
- Crystal system: cubic

```
data_SrAs4Pt
_cell_length_a 7.982
_cell_length_b 7.982
_cell_length_c 7.982
_cell_angle_alpha 90.00
_cell_angle_beta 90.00
_cell_angle_gamma 90.00
_space_group_name_H-M_alt 'F -4 3 m'
_space_group_IT_number 216
_space_group_name_Hall 'F -4 2 3'
loop_
_atom_site_label
_atom_site_type_symbol
_atom_site_fract_x
_atom_site_fract_y
_atom_site_fract_z
Sr1 Sr 0.000 0.000 0.000
As1 As 0.122 0.122 0.622
Pt1 Pt 0.250 0.250 0.250
```

---

Number 1: total energy -4.81 eV/atom. Number 2: total energy -4.89 eV/atom. Number 3: total energy -4.15 eV/atom. Number 4: total energy -7.94 eV/atom. Number 5: total energy -5.17 eV/atom. Number 6: total energy -4.39 eV/atom.